Material: NaLiS2N
Method: DFT, PBEsol
State: relaxed

For the total moment, the calculation gives 2.95 μB/cell. Its density of states at the Fermi level is 2.8 states/eV/cell. As for the formation energy from raw total energies: 0.5944 eV/atom. Its space group is P4/mmm.

Structure (POSCAR):
```
NaLiS2N
1.0
4.4485 0.0000 0.0000
0.0000 4.4485 0.0000
0.0000 0.0000 4.2737
Na Li S N
1 1 2 1
Direct
0.0000 0.0000 0.0000
0.5000 0.5000 0.5000
0.0000 0.5000 0.5000
0.5000 0.0000 0.5000
0.5000 0.5000 0.0000
```

Material: Mg2Zn
Method: DFT, PBEsol
State: relaxed

For the total moment, the calculation gives 0.00 μB/cell. Its density of states at the Fermi level is 1.9 states/eV/cell. The value obtained for the formation energy is -0.12 eV/f.u. Its space group is P6_3/mmc.

Structure (POSCAR):
```
Mg2Zn
1.0
4.7037 0.0000 0.0000
-2.3518 4.0735 0.0000
0.0000 0.0000 5.9393
Mg Zn
4 2
Direct
0.0000 0.0000 0.0000
0.0000 0.0000 0.5000
0.3333 0.6667 0.2500
0.6667 0.3333 0.7500
0.3333 0.6667 0.7500
0.6667 0.3333 0.2500
```

Material: AlSi2Te
Method: DFT, PBEsol
State: relaxed

For the total moment, the calculation gives 0.00 μB/cell. Its density of states at the Fermi level is 1.9 states/eV/cell. As for the formation energy from raw total energies: 0.2966 eV/atom. For the distance to the lowest polymorph of the same formula, the calculation gives 91.7 meV/atom. Its space group is Pmmm.

Structure (POSCAR):
```
AlSi2Te
1.0
3.5733 0.0000 0.0000
0.0000 4.2160 0.0000
0.0000 0.0000 5.3848
Al Si Te
1 2 1
Direct
0.0000 0.0000 0.0000
0.0000 0.0000 0.5000
0.5000 0.5000 0.0000
0.5000 0.5000 0.5000
```

Material: K2NaCeI6
Method: DFT, PBEsol
State: relaxed

For the total moment, the calculation gives 1.00 μB/cell. Its density of states at the Fermi level is 8.4 states/eV/cell. As for the formation energy from raw total energies: -1.2633 eV/atom. Its space group is Fm-3m.

Structure (POSCAR):
```
K2NaCeI6
1.0
0.0000 6.1049 6.1049
6.1049 0.0000 6.1049
6.1049 6.1049 0.0000
K Na Ce I
2 1 1 6
Direct
0.2500 0.2500 0.2500
0.7500 0.7500 0.7500
0.0000 0.0000 0.0000
0.5000 0.5000 0.5000
0.2490 0.2490 0.7510
0.2490 0.7510 0.2490
0.2490 0.7510 0.7510
0.7510 0.2490 0.2490
0.7510 0.2490 0.7510
0.7510 0.7510 0.2490
```

Material: CaCuRe2
Method: DFT, PBEsol
State: relaxed

For the total moment, the calculation gives 0.00 μB/cell. Its density of states at the Fermi level is 2.9 states/eV/cell. The value obtained for the formation energy is 2.28 eV/f.u. For the distance to the lowest polymorph of the same formula, the calculation gives 258.2 meV/atom. Its space group is Cmm2.

Structure (POSCAR):
```
CaCuRe2
1.0
1.6098 -2.1833 0.0000
1.6098 2.1833 0.0000
0.0000 0.0000 9.0569
Ca Cu Re
1 1 2
Direct
0.0000 0.0000 0.0000
0.5000 0.5000 0.7324
0.0000 0.0000 0.5098
0.5000 0.5000 0.2806
```

Material: ZrCd2Hg
Method: DFT, PBEsol
State: relaxed

For the total moment, the calculation gives 0.00 μB/cell. Its density of states at the Fermi level is 2.1 states/eV/cell. The value obtained for the formation energy is -0.27 eV/f.u. Its space group is Cm.

Structure (POSCAR):
```
ZrCd2Hg
1.0
4.7872 -1.5423 0.0000
4.7872 1.5423 0.0000
-0.9087 0.0000 5.6451
Zr Cd Hg
1 2 1
Direct
0.0000 0.0000 0.0000
0.5011 0.5011 0.5000
0.7523 0.7523 0.2698
0.2498 0.2498 0.7652
```

| no. | V (Å³ per atom) |
| --- | --- |
| 1 | 16.91 |
| 2 | 18.97 |
| 3 | 20.28 |
| 4 | 45.51 |
| 5 | 15.92 |
| 6 | 20.84 |